Entry 1:
The following is a DFT calculation (PBE) of Nd2SiI after structural relaxation.

Summary:
E_tot = -20.31 eV for the cell shown
energy above the most stable polymorph in this dataset = 0.0 meV per atom
energy relative to the elements, uncorrected = -0.95 eV per atom

```
Nd2SiI
1.0
4.3296 0.0000 0.0000
2.1648 3.7495 0.0000
2.1648 1.2498 7.7258
I Nd Si
1 2 1
Direct
0.5000 0.5000 0.5000 I
0.2675 0.2675 0.1975 Nd
0.7325 0.7325 0.8025 Nd
0.0000 0.0000 0.0000 Si
```

---

Entry 2:
The following is a DFT calculation (PBE) of NdSiI after structural relaxation.

Summary:
E_tot = -28.94 eV for the cell shown
energy relative to the elements, uncorrected = -0.91 eV per atom

```
NdSiI
1.0
4.0087 0.0000 0.0000
2.0043 3.4484 -0.4006
2.0043 -0.7672 14.0630
Si I Nd
2 2 2
Direct
0.6374 0.1905 0.5347 Si
0.3626 0.8095 0.4653 Si
0.7121 0.7348 0.8411 I
0.2879 0.2652 0.1589 I
0.8222 0.0398 0.3158 Nd
0.1778 0.9602 0.6842 Nd
```

---

Copy entry 2 word for word.
The following is a DFT calculation (PBE) of NdSiI after structural relaxation.

Summary:
E_tot = -28.94 eV for the cell shown
energy relative to the elements, uncorrected = -0.91 eV per atom

```
NdSiI
1.0
4.0087 0.0000 0.0000
2.0043 3.4484 -0.4006
2.0043 -0.7672 14.0630
Si I Nd
2 2 2
Direct
0.6374 0.1905 0.5347 Si
0.3626 0.8095 0.4653 Si
0.7121 0.7348 0.8411 I
0.2879 0.2652 0.1589 I
0.8222 0.0398 0.3158 Nd
0.1778 0.9602 0.6842 Nd
```

---

- E_tot of number 2 (NdSiI)?
  -28.94 eV for the cell shown